*P*
AlSnSb: relaxed, PBE.

## Properties
density = 5824 kg/m3
total magnetization = 0.0000 μB/atom
DOS at the Fermi energy = 2.3 states/eV per cell

a b c (Å): 4.233 6.454 6.583
angles (deg): 65.48 73.34 71.32
Positions (direct):
Al 0.177 0.278 0.489
Al 0.823 0.722 0.511
Sn 0.477 0.723 0.177
Sn 0.523 0.277 0.823
Sb 0.167 0.794 0.779
Sb 0.833 0.206 0.221

*Q*
AlSnSb: relaxed, PBE.

## Properties
density = 5354 kg/m3
total magnetization = 0.0000 μB/atom
DOS at the Fermi energy = 3.2 states/eV per cell

a b c (Å): 6.311 6.311 4.482
angles (deg): 103.10 103.10 98.00
Positions (direct):
Al 0.236 0.764 0.000
Al 0.764 0.236 0.000
Sn 0.217 0.217 0.009
Sn 0.471 0.471 0.674
Sb 0.662 0.973 0.373
Sb 0.973 0.662 0.373

Which structure wins on stability? *P* wins.

*P*
AlSnSb: relaxed, PBE.

## Properties
density = 5048 kg/m3
total magnetization = 0.0000 μB/atom
DOS at the Fermi energy = 1.9 states/eV per cell

a b c (Å): 4.433 4.604 8.626
angles (deg): 89.55 89.87 87.98
Positions (direct):
Al 0.000 0.000 0.000
Al 0.499 0.494 0.639
Sn 0.236 0.481 0.144
Sn 0.683 0.896 0.288
Sb 0.007 0.398 0.464
Sb 0.505 0.989 0.813

*Q*
AlSnSb: relaxed, PBE.

## Properties
density = 4914 kg/m3
total magnetization = 0.0000 μB/atom
DOS at the Fermi energy = 0.8 states/eV per cell

a b c (Å): 4.446 6.370 6.843
angles (deg): 101.38 91.46 107.22
Positions (direct):
Al 0.000 0.000 0.000
Al 0.381 0.861 0.423
Sn 0.068 0.469 0.150
Sn 0.515 0.336 0.840
Sb 0.411 0.799 0.810
Sb 0.983 0.113 0.405

Which structure wins on stability? *P* wins.

*P*
AlSn2Sb: relaxed, PBE.

## Properties
density = 6227 kg/m3
total magnetization = 0.0000 μB/atom
DOS at the Fermi energy = 3.0 states/eV per cell

a b c (Å): 5.261 5.261 5.261
angles (deg): 60.00 60.00 60.00
Positions (direct):
Al 0.000 0.000 0.000
Sn 0.250 0.250 0.250
Sn 0.750 0.750 0.750
Sb 0.500 0.500 0.500

*Q*
AlSn2Sb: relaxed, PBE.

## Properties
density = 6177 kg/m3
total magnetization = 0.0000 μB/atom
DOS at the Fermi energy = 1.4 states/eV per cell

a b c (Å): 11.233 11.233 11.233
angles (deg): 16.84 16.84 16.84
Positions (direct):
Al 0.000 0.000 0.000
Sn 0.406 0.406 0.406
Sn 0.594 0.594 0.594
Sb 0.500 0.500 0.500

*R*
AlSn2Sb: relaxed, PBE.

## Properties
density = 4730 kg/m3
total magnetization = 0.0000 μB/atom
DOS at the Fermi energy = 0.0 states/eV per cell

a b c (Å): 7.951 7.951 7.951
angles (deg): 132.12 132.12 70.04
Positions (direct):
Al 0.000 0.000 0.000
Al 0.750 0.250 0.500
Sn 0.099 0.625 0.974
Sn 0.375 0.349 0.474
Sn 0.651 0.125 0.026
Sn 0.875 0.901 0.526
Sb 0.250 0.750 0.500
Sb 0.500 0.500 0.000

Which structure wins on stability? *R* wins.